[1]
# SrSmP2Pd2

A relaxed SrSmP2Pd2 crystal (PBE, OQMD via LeMat-Bulk).

abc: 4.1876 4.1876 8.2897
angles: 90.00 90.00 120.00
Closest atoms and distances in Å follow each position.
Positions (direct):
Sr (0.0000, 0.0000, 0.0000)  6 Pd 3.26, 6 P 3.30
Sm (0.0000, 0.0000, 0.5000)  6 P 3.08, 6 Pd 3.12
P (0.3333, 0.6667, 0.2704)  3 Pd 2.42
P (0.6667, 0.3333, 0.7296)  3 Pd 2.42
Pd (0.3333, 0.6667, 0.7371)  3 P 2.42
Pd (0.6667, 0.3333, 0.2629)  3 P 2.42



[2]
# HgOsO3

A relaxed HgOsO3 crystal (PBE, OQMD via LeMat-Bulk).

abc: 5.4669 7.7475 5.5782
angles: 90.00 90.00 90.00
Closest atoms and distances in Å follow each position.
Positions (direct):
Hg (0.0242, 0.2500, 0.0007)  3 O 2.27-2.35
Hg (0.4758, 0.7500, 0.5007)  3 O 2.27-2.35
Hg (0.5242, 0.2500, 0.4993)  3 O 2.27-2.35
Hg (0.9758, 0.7500, 0.9993)  3 O 2.27-2.35
Os (0.0000, 0.0000, 0.5000)  6 O 2.01
Os (0.0000, 0.5000, 0.5000)  6 O 2.01
Os (0.5000, 0.0000, 0.0000)  6 O 2.01
Os (0.5000, 0.5000, 0.0000)  6 O 2.01
O (0.0170, 0.2500, 0.5941)  2 Os 2.01
O (0.2123, 0.5482, 0.7855)  2 Os 2.01
O (0.2123, 0.9518, 0.7855)  2 Os 2.01
O (0.2877, 0.0482, 0.2855)  2 Os 2.01
O (0.2877, 0.4518, 0.2855)  2 Os 2.01
O (0.4830, 0.7500, 0.0941)  2 Os 2.01
O (0.5170, 0.2500, 0.9059)  2 Os 2.01
O (0.7123, 0.5482, 0.7145)  2 Os 2.01
O (0.7123, 0.9518, 0.7145)  2 Os 2.01
O (0.7877, 0.0482, 0.2145)  2 Os 2.01
O (0.7877, 0.4518, 0.2145)  2 Os 2.01
O (0.9830, 0.7500, 0.4059)  2 Os 2.01



[3]
# InCoReHg

A relaxed InCoReHg crystal (PBE, OQMD via LeMat-Bulk).

abc: 6.4413 6.4413 6.4413
angles: 90.00 90.00 90.00
Closest atoms and distances in Å follow each position.
Positions (direct):
In (0.0000, 0.0000, 0.0000)  4 Co 2.79, 4 Re 2.79
In (0.0000, 0.5000, 0.5000)  4 Co 2.79, 4 Re 2.79
In (0.5000, 0.0000, 0.5000)  4 Co 2.79, 4 Re 2.79
In (0.5000, 0.5000, 0.0000)  4 Co 2.79, 4 Re 2.79
Co (0.2500, 0.2500, 0.2500)  4 Hg 2.79, 4 In 2.79
Co (0.2500, 0.7500, 0.7500)  4 Hg 2.79, 4 In 2.79
Co (0.7500, 0.2500, 0.7500)  4 Hg 2.79, 4 In 2.79
Co (0.7500, 0.7500, 0.2500)  4 Hg 2.79, 4 In 2.79
Re (0.2500, 0.2500, 0.7500)  4 In 2.79, 4 Hg 2.79
Re (0.2500, 0.7500, 0.2500)  4 In 2.79, 4 Hg 2.79
Re (0.7500, 0.2500, 0.2500)  4 In 2.79, 4 Hg 2.79
Re (0.7500, 0.7500, 0.7500)  4 In 2.79, 4 Hg 2.79
Hg (0.0000, 0.0000, 0.5000)  4 Re 2.79, 4 Co 2.79
Hg (0.0000, 0.5000, 0.0000)  4 Re 2.79, 4 Co 2.79
Hg (0.5000, 0.0000, 0.0000)  4 Re 2.79, 4 Co 2.79
Hg (0.5000, 0.5000, 0.5000)  4 Re 2.79, 4 Co 2.79

Computed properties:
* ΔE to the lowest computed polymorph: 0.000 eV/atom



[4]
# PaNbTl

A relaxed PaNbTl crystal (PBE, OQMD via LeMat-Bulk).

abc: 6.7782 6.7782 6.7782
angles: 90.00 90.00 90.00
Closest atoms and distances in Å follow each position.
Positions (direct):
Pa (0.0000, 0.0000, 0.0000)  4 Nb 2.94
Pa (0.0000, 0.5000, 0.5000)  4 Nb 2.94
Pa (0.5000, 0.0000, 0.5000)  4 Nb 2.94
Pa (0.5000, 0.5000, 0.0000)  4 Nb 2.94
Nb (0.2500, 0.2500, 0.2500)  4 Tl 2.94, 4 Pa 2.94
Nb (0.2500, 0.7500, 0.7500)  4 Tl 2.94, 4 Pa 2.94
Nb (0.7500, 0.2500, 0.7500)  4 Tl 2.94, 4 Pa 2.94
Nb (0.7500, 0.7500, 0.2500)  4 Tl 2.94, 4 Pa 2.94
Tl (0.0000, 0.0000, 0.5000)  4 Nb 2.94
Tl (0.0000, 0.5000, 0.0000)  4 Nb 2.94
Tl (0.5000, 0.0000, 0.0000)  4 Nb 2.94
Tl (0.5000, 0.5000, 0.5000)  4 Nb 2.94

Computed properties:
* ΔE to the lowest computed polymorph: 0.000 eV/atom



[5]
# Li2Si3Pt

A relaxed Li2Si3Pt crystal (PBE, OQMD via LeMat-Bulk).

abc: 5.0686 5.0686 7.8375
angles: 90.00 90.00 120.00
Closest atoms and distances in Å follow each position.
Positions (direct):
Li (0.3333, 0.6667, 0.0663)  9 Si 2.84-2.92, 4 Li 2.88-3.11, 3 Pt 2.97
Li (0.3333, 0.6667, 0.4337)  9 Si 2.84-2.92, 4 Li 2.88-3.11, 3 Pt 2.97
Li (0.6667, 0.3333, 0.5663)  9 Si 2.84-2.92, 4 Li 2.88-3.11, 3 Pt 2.97
Li (0.6667, 0.3333, 0.9337)  9 Si 2.84-2.92, 4 Li 2.88-3.11, 3 Pt 2.97
Si (0.1764, 0.3527, 0.7500)  2 Si 2.39, 2 Pt 2.50
Si (0.1764, 0.8236, 0.7500)  2 Si 2.39, 2 Pt 2.50
Si (0.3527, 0.1764, 0.2500)  2 Si 2.39, 2 Pt 2.50
Si (0.6473, 0.8236, 0.7500)  2 Si 2.39, 2 Pt 2.50
Si (0.8236, 0.1764, 0.2500)  2 Si 2.39, 2 Pt 2.50
Si (0.8236, 0.6473, 0.2500)  2 Si 2.39, 2 Pt 2.50
Pt (0.0000, 0.0000, 0.0000)  6 Si 2.50
Pt (0.0000, 0.0000, 0.5000)  6 Si 2.50



[6]
# TcPtNO

A relaxed TcPtNO crystal (PBE, OQMD via LeMat-Bulk).

abc: 3.9178 3.9178 7.4111
angles: 90.00 90.00 90.00
Closest atoms and distances in Å follow each position.
Positions (direct):
Tc (0.2500, 0.2500, 0.0912)  1 N 1.74
Tc (0.7500, 0.7500, 0.9088)  1 N 1.74
Pt (0.2500, 0.7500, 0.5000)  4 N 2.35
Pt (0.7500, 0.2500, 0.5000)  4 N 2.35
N (0.2500, 0.2500, 0.3253)  1 Tc 1.74
N (0.7500, 0.7500, 0.6747)  1 Tc 1.74
O (0.2500, 0.7500, 0.0000)  4 Tc 2.07
O (0.7500, 0.2500, 0.0000)  4 Tc 2.07

Computed properties:
* ΔE to the lowest computed polymorph: 0.419 eV/atom



[7]
# TlAgSnTeSe2

A relaxed TlAgSnTeSe2 crystal (PBE, OQMD via LeMat-Bulk).

abc: 7.7028 7.7028 11.6464
angles: 90.00 90.00 150.62
Closest atoms and distances in Å follow each position.
Positions (direct):
Tl (0.2249, 0.7751, 0.7500)  2 Ag 3.14, 2 Te 3.31, 2 Se 3.51
Tl (0.7751, 0.2249, 0.2500)  2 Ag 3.14, 2 Te 3.31, 2 Se 3.51
Ag (0.1102, 0.8898, 0.2500)  2 Se 2.62
Ag (0.8898, 0.1102, 0.7500)  2 Se 2.62
Sn (0.5000, 0.5000, 0.0000)  4 Se 2.79, 2 Te 2.99
Sn (0.5000, 0.5000, 0.5000)  4 Se 2.79, 2 Te 2.99
Te (0.4543, 0.5457, 0.2500)  2 Sn 2.99, 2 Ag 3.03, 2 Tl 3.31
Te (0.5457, 0.4543, 0.7500)  2 Sn 2.99, 2 Ag 3.03, 2 Tl 3.31
Se (0.1320, 0.8680, 0.0270)  1 Ag 2.62, 2 Sn 2.79
Se (0.1320, 0.8680, 0.4730)  1 Ag 2.62, 2 Sn 2.79
Se (0.8680, 0.1320, 0.5270)  1 Ag 2.62, 2 Sn 2.79
Se (0.8680, 0.1320, 0.9730)  1 Ag 2.62, 2 Sn 2.79



[8]
# Na2Ga4PdPt

A relaxed Na2Ga4PdPt crystal (PBE, OQMD via LeMat-Bulk).

abc: 7.1168 4.2053 10.0358
angles: 90.00 90.00 90.00
Closest atoms and distances in Å follow each position.
Positions (direct):
Na (0.0000, 0.0000, 0.0000)  3 Pd 2.82-3.04, 4 Ga 3.11
Na (0.0000, 0.5000, 0.5000)  3 Pd 2.82-3.04, 4 Ga 3.11
Na (0.5000, 0.0000, 0.1338)  3 Pt 2.83-3.03, 4 Ga 3.10
Na (0.5000, 0.5000, 0.6338)  3 Pt 2.83-3.03, 4 Ga 3.10
Ga (0.1976, 0.0000, 0.7098)  1 Pt 2.58, 2 Pd 2.63, 1 Ga 2.81
Ga (0.1976, 0.5000, 0.2098)  1 Pt 2.58, 2 Pd 2.63, 1 Ga 2.81
Ga (0.3030, 0.0000, 0.4222)  1 Pd 2.58, 2 Pt 2.62, 1 Ga 2.80
Ga (0.3030, 0.5000, 0.9222)  1 Pd 2.58, 2 Pt 2.62, 1 Ga 2.80
Ga (0.6970, 0.0000, 0.4222)  1 Pd 2.58, 2 Pt 2.62, 1 Ga 2.80
Ga (0.6970, 0.5000, 0.9222)  1 Pd 2.58, 2 Pt 2.62, 1 Ga 2.80
Ga (0.8024, 0.0000, 0.7098)  1 Pt 2.58, 2 Pd 2.63, 1 Ga 2.81
Ga (0.8024, 0.5000, 0.2098)  1 Pt 2.58, 2 Pd 2.63, 1 Ga 2.81
Pd (0.0000, 0.0000, 0.2807)  6 Ga 2.58-2.63, 1 Na 2.82
Pd (0.0000, 0.5000, 0.7807)  6 Ga 2.58-2.63, 1 Na 2.82
Pt (0.5000, 0.0000, 0.8516)  6 Ga 2.58-2.62, 1 Na 2.83
Pt (0.5000, 0.5000, 0.3516)  6 Ga 2.58-2.62, 1 Na 2.83



[9]
# Al4FeTc

A relaxed Al4FeTc crystal (PBE, OQMD via LeMat-Bulk).

abc: 3.1098 3.1098 8.5088
angles: 90.00 90.00 90.00
Closest atoms and distances in Å follow each position.
Positions (direct):
Al (0.0000, 0.0000, 0.1516)  4 Fe 2.55, 5 Al 2.58-2.71
Al (0.0000, 0.0000, 0.8484)  4 Fe 2.55, 5 Al 2.58-2.71
Al (0.5000, 0.5000, 0.3377)  4 Tc 2.60, 5 Al 2.71-2.76, 1 Fe 2.87
Al (0.5000, 0.5000, 0.6623)  4 Tc 2.60, 5 Al 2.71-2.76, 1 Fe 2.87
Fe (0.5000, 0.5000, 0.0000)  8 Al 2.55
Tc (0.0000, 0.0000, 0.5000)  8 Al 2.60



[10]
# AcNbGa

A relaxed AcNbGa crystal (PBE, OQMD via LeMat-Bulk).

abc: 6.9835 6.9835 6.9835
angles: 90.00 90.00 90.00
Closest atoms and distances in Å follow each position.
Positions (direct):
Ac (0.0000, 0.0000, 0.0000)  4 Ga 3.02
Ac (0.0000, 0.5000, 0.5000)  4 Ga 3.02
Ac (0.5000, 0.0000, 0.5000)  4 Ga 3.02
Ac (0.5000, 0.5000, 0.0000)  4 Ga 3.02
Nb (0.0000, 0.0000, 0.5000)  4 Ga 3.02
Nb (0.0000, 0.5000, 0.0000)  4 Ga 3.02
Nb (0.5000, 0.0000, 0.0000)  4 Ga 3.02
Nb (0.5000, 0.5000, 0.5000)  4 Ga 3.02
Ga (0.2500, 0.2500, 0.2500)  4 Nb 3.02, 4 Ac 3.02
Ga (0.2500, 0.7500, 0.7500)  4 Nb 3.02, 4 Ac 3.02
Ga (0.7500, 0.2500, 0.7500)  4 Nb 3.02, 4 Ac 3.02
Ga (0.7500, 0.7500, 0.2500)  4 Nb 3.02, 4 Ac 3.02

Computed properties:
* ΔE to the lowest computed polymorph: 0.000 eV/atom



[11]
# As2Ir7

A relaxed As2Ir7 crystal (PBE, OQMD via LeMat-Bulk).

abc: 2.7761 2.7761 30.1937
angles: 90.00 90.00 120.00
Closest atoms and distances in Å follow each position.
Positions (direct):
As (0.3333, 0.6667, 0.2112)  3 Ir 2.60, 6 As 2.78
As (0.6667, 0.3333, 0.7888)  3 Ir 2.60, 6 As 2.78
Ir (0.0000, 0.0000, 0.2789)  3 As 2.60, 9 Ir 2.78
Ir (0.0000, 0.0000, 0.5000)  12 Ir 2.73-2.78
Ir (0.0000, 0.0000, 0.7211)  3 As 2.60, 9 Ir 2.78
Ir (0.3333, 0.6667, 0.4269)  12 Ir 2.72-2.78
Ir (0.3333, 0.6667, 0.6458)  12 Ir 2.72-2.78
Ir (0.6667, 0.3333, 0.3542)  12 Ir 2.72-2.78
Ir (0.6667, 0.3333, 0.5731)  12 Ir 2.72-2.78



The records above give, respectively, VASP energy values of -5.749; -5.736; -4.819; -6.562; -4.858; -7.167; -3.429; -3.663; -5.966; -5.291; -7.829 eV per atom.